(1)
Here is a geometry-optimized NiBOsW structure from OQMD. Energies are from PBE-GGA.

Cell: 4.0542 4.0542 4.0542 Å, 60.00 60.00 60.00°
Last column: nearest neighbours and their distance in Å.
Element x y z (fractional)
Ni  0.0000  0.0000  0.0000  4 W 2.48, 4 Os 2.48
B  0.5000  0.5000  0.5000  4 W 2.48, 4 Os 2.48
Os  0.7500  0.7500  0.7500  4 Ni 2.48, 4 B 2.48
W  0.2500  0.2500  0.2500  4 Ni 2.48, 4 B 2.48

(2)
Here is a geometry-optimized RbReO3 structure from OQMD. Energies are from PBE-GGA.

Cell: 6.5306 6.5306 6.5306 Å, 62.84 62.84 62.84°
Last column: nearest neighbours and their distance in Å.
Element x y z (fractional)
Rb  0.0000  0.0000  0.0000  6 O 2.88
Rb  0.5000  0.5000  0.5000  6 O 2.88
Re  0.2500  0.2500  0.2500  3 O 1.75
Re  0.7500  0.7500  0.7500  3 O 1.75
O  0.0066  0.7500  0.4934  1 Re 1.75
O  0.2500  0.5066  0.9934  1 Re 1.75
O  0.4934  0.0066  0.7500  1 Re 1.75
O  0.5066  0.9934  0.2500  1 Re 1.75
O  0.7500  0.4934  0.0066  1 Re 1.75
O  0.9934  0.2500  0.5066  1 Re 1.75

(3)
Here is a geometry-optimized Ba3Zn2Ag2P4 structure from OQMD. Energies are from PBE-GGA.

Cell: 4.3966 4.3966 16.4757 Å, 90.00 90.00 120.00°
Last column: nearest neighbours and their distance in Å.
Element x y z (fractional)
Ba  0.0000  0.0000  0.0000  6 P 3.42, 6 Ag 3.44
Ba  0.0000  0.0000  0.2808  6 P 3.26-3.45, 3 Ag 3.43
Ba  0.0000  0.0000  0.7192  6 P 3.26-3.45, 3 Ag 3.43
Zn  0.3333  0.6667  0.5554  4 P 2.48-2.62
Zn  0.6667  0.3333  0.4446  4 P 2.48-2.62
Ag  0.3333  0.6667  0.1405  3 P 2.54
Ag  0.6667  0.3333  0.8595  3 P 2.54
P  0.3333  0.6667  0.4049  4 Zn 2.48-2.62
P  0.3333  0.6667  0.8611  3 Ag 2.54
P  0.6667  0.3333  0.1389  3 Ag 2.54
P  0.6667  0.3333  0.5951  4 Zn 2.48-2.62

(4)
Here is a geometry-optimized Na2Mg2InNi2Sn structure from OQMD. Energies are from PBE-GGA.

Cell: 4.6721 4.6721 6.5996 Å, 90.00 90.00 90.00°
Last column: nearest neighbours and their distance in Å.
Element x y z (fractional)
Na  0.0000  0.5000  0.2483  2 In 2.85, 4 Mg 2.85-2.87, 2 Sn 2.87
Na  0.5000  0.0000  0.7517  2 In 2.85, 4 Mg 2.85-2.87, 2 Sn 2.87
Mg  0.0000  0.0000  0.5000  4 Ni 2.84, 4 Na 2.87
Mg  0.5000  0.5000  0.0000  4 Na 2.85, 4 Ni 2.88
In  0.0000  0.0000  0.0000  4 Na 2.85, 4 Ni 2.88
Ni  0.0000  0.5000  0.7441  2 Sn 2.84, 4 Mg 2.84-2.88, 2 In 2.88
Ni  0.5000  0.0000  0.2559  2 Sn 2.84, 4 Mg 2.84-2.88, 2 In 2.88
Sn  0.5000  0.5000  0.5000  4 Ni 2.84, 4 Na 2.87

(5)
Here is a geometry-optimized KGdO structure from OQMD. Energies are from PBE-GGA.

Cell: 6.9643 6.9643 6.9581 Å, 110.43 110.43 35.06°
Last column: nearest neighbours and their distance in Å.
Element x y z (fractional)
K  0.1233  0.1233  0.4431  1 O 2.87
K  0.8767  0.8767  0.5569  1 O 2.87
Gd  0.3583  0.3583  0.0643  3 O 2.22-2.23
Gd  0.6417  0.6417  0.9357  3 O 2.22-2.23
O  0.1820  0.1820  0.8832  3 Gd 2.22-2.23
O  0.8180  0.8180  0.1168  3 Gd 2.22-2.23

(6)
Here is a geometry-optimized PrSmHg structure from OQMD. Energies are from PBE-GGA.

Cell: 5.2374 5.2374 5.2374 Å, 60.00 60.00 60.00°
Last column: nearest neighbours and their distance in Å.
Element x y z (fractional)
Pr  0.0000  0.0000  0.0000  4 Hg 3.21
Sm  0.5000  0.5000  0.5000  4 Hg 3.21
Hg  0.2500  0.2500  0.2500  4 Pr 3.21, 4 Sm 3.21

Results
ΔE to the lowest computed polymorph ... 0 meV/atom
Energy relative to the elements ... -0.101 eV/atom

(7)
Here is a geometry-optimized LiTaTcSb structure from OQMD. Energies are from PBE-GGA.

Cell: 4.4911 4.4911 4.4911 Å, 60.00 60.00 60.00°
Last column: nearest neighbours and their distance in Å.
Element x y z (fractional)
Li  0.0000  0.0000  0.0000  4 Ta 2.75, 4 Sb 2.75
Ta  0.7500  0.7500  0.7500  4 Li 2.75, 4 Tc 2.75
Tc  0.5000  0.5000  0.5000  4 Ta 2.75, 4 Sb 2.75
Sb  0.2500  0.2500  0.2500  4 Tc 2.75, 4 Li 2.75

Results
ΔE to the lowest computed polymorph ... 0 meV/atom

(8)
Here is a geometry-optimized YZrN structure from OQMD. Energies are from PBE-GGA.

Cell: 6.9550 6.9550 3.5175 Å, 90.00 90.00 120.00°
Last column: nearest neighbours and their distance in Å.
Element x y z (fractional)
Y  0.0000  0.5849  0.0000  5 N 2.73-2.89, 2 Zr 2.95
Y  0.4151  0.4151  0.0000  5 N 2.73-2.89, 2 Zr 2.95
Y  0.5849  0.0000  0.0000  5 N 2.73-2.89, 2 Zr 2.95
Zr  0.0000  0.2440  0.5000  4 N 2.44-2.68
Zr  0.2440  0.0000  0.5000  4 N 2.44-2.68
Zr  0.7560  0.7560  0.5000  4 N 2.44-2.68
N  0.0000  0.0000  0.0000  6 Zr 2.44
N  0.3333  0.6667  0.5000  3 Zr 2.68, 6 Y 2.73
N  0.6667  0.3333  0.5000  3 Zr 2.68, 6 Y 2.73

Number 1: uncorrected energy -8.805 eV per atom. Number 2: uncorrected energy -7.131 eV per atom. Number 3: uncorrected energy -3.902 eV per atom. Number 4: uncorrected energy -2.961 eV per atom. Number 5: uncorrected energy -5.201 eV per atom. Number 6: uncorrected energy -3.362 eV per atom. Number 7: uncorrected energy -7.306 eV per atom. Number 8: uncorrected energy -8.010 eV per atom.